No. 1
The following is a PBE-GGA calculation of CdFe2Hg after structural relaxation, from Alexandria via LeMat-Bulk.

Unit cell a=2.849 b=2.849 c=8.775 alpha=90.00 beta=90.00 gamma=105.68
Site moments in Bohr magnetons follow the coordinates.
Fractional positions:
Cd  0.500  0.500  0.782  -0.02
Fe  0.000  0.000  0.031  2.69
Fe  0.500  0.500  0.216  2.75
Hg  0.000  0.000  0.471  0.00

Computed properties:
crystal system	orthorhombic
space-group type	Cmm2



No. 2
The following is a PBE-GGA calculation of CdFe2Hg after structural relaxation, from Alexandria via LeMat-Bulk.

Unit cell a=4.079 b=2.842 c=6.319 alpha=63.66 beta=90.00 gamma=90.00
Site moments in Bohr magnetons follow the coordinates.
Fractional positions:
Hg  0.500  0.250  0.250  -0.06
Fe  0.000  0.493  0.507  2.71
Fe  0.000  0.007  0.993  2.71
Cd  0.500  0.750  0.750  -0.07

Computed properties:
crystal system	monoclinic
space-group type	P2/m



So what do the calculations give for DFT formation energy? Going down the list: 0.32; 0.41 eV per atom.